The following is a GGA-PBE calculation of a geometry-optimized Sn2Pd2Pt3 structure, from Alexandria via LeMat-Bulk.

Output
Magnetic moment   0.00 μB per cell
Energy above the lowest structure with this stoichiometry   0.0 meV/atom
ρ   13624 kg/m³
Electronic total energy   -5.624 eV per atom
ΔE_f   -0.4076 eV per atom

Geometry as CIF:
```
data_Sn2Pd2Pt3
_chemical_formula_sum 'Sn2 Pd2 Pt3'
_space_group_name_H-M_alt 'P 1'
_space_group_IT_number 1
_space_group_name_Hall 'P 1'
_cell_length_a 4.039
_cell_length_b 4.848
_cell_length_c 7.982
_cell_angle_alpha 114.68
_cell_angle_beta 90.00
_cell_angle_gamma 114.61
loop_
_atom_site_label
_atom_site_fract_x
_atom_site_fract_y
_atom_site_fract_z
_atom_site_occupancy
Pd1 0.244 0.489 0.366 1
Sn1 0.501 0.002 0.239 1
Sn2 0.499 0.998 0.761 1
Pd2 0.756 0.511 0.634 1
Pt1 0.000 0.000 0.500 1
Pt2 0.252 0.504 0.879 1
Pt3 0.748 0.496 0.121 1
```

The following is a GGA-PBE calculation of a geometry-optimized AcPmSiCl structure, from Alexandria via LeMat-Bulk.

Output
Magnetic moment   0.00 μB per cell
Energy above the lowest structure with this stoichiometry   0.0 meV/atom
ρ   5302 kg/m³
Electronic total energy   -5.142 eV per atom
Raw formation energy   -1.110 eV per atom

Geometry as CIF:
```
data_AcPmSiCl
_chemical_formula_sum 'Ac2 Pm2 Si2 Cl2'
_space_group_name_H-M_alt 'P 1'
_space_group_IT_number 1
_space_group_name_Hall 'P 1'
_cell_length_a 4.465
_cell_length_b 4.465
_cell_length_c 16.010
_cell_angle_alpha 81.98
_cell_angle_beta 81.98
_cell_angle_gamma 60.00
loop_
_atom_site_label
_atom_site_fract_x
_atom_site_fract_y
_atom_site_fract_z
_atom_site_occupancy
Cl1 0.256 0.256 0.231 1
Ac1 0.631 0.631 0.107 1
Ac2 0.369 0.369 0.893 1
Pm1 0.804 0.804 0.588 1
Si1 0.000 0.000 0.000 1
Pm2 0.196 0.196 0.412 1
Si2 0.500 0.500 0.500 1
Cl2 0.744 0.744 0.769 1
```

The following is a GGA-PBE calculation of a geometry-optimized NdHoEr14 structure, from Alexandria via LeMat-Bulk.

Output
Magnetic moment   0.00 μB per cell
ρ   8946 kg/m³
Electronic total energy   -4.569 eV per atom
ΔE_f   0.0079 eV per atom

Geometry as CIF:
```
data_NdHoEr14
_chemical_formula_sum 'Nd1 Ho1 Er14'
_space_group_name_H-M_alt 'P 1'
_space_group_IT_number 1
_space_group_name_Hall 'P 1'
_cell_length_a 7.070
_cell_length_b 7.070
_cell_length_c 11.365
_cell_angle_alpha 90.00
_cell_angle_beta 90.00
_cell_angle_gamma 119.98
loop_
_atom_site_label
_atom_site_fract_x
_atom_site_fract_y
_atom_site_fract_z
_atom_site_occupancy
Er1 0.875 0.125 0.248 1
Er2 0.374 0.125 0.752 1
Ho1 0.208 0.792 0.500 1
Er3 0.875 0.626 0.752 1
Er4 0.542 0.458 0.000 1
Er5 0.708 0.792 0.500 1
Er6 0.875 0.626 0.248 1
Nd1 0.708 0.292 0.500 1
Er7 0.042 0.458 0.000 1
Er8 0.208 0.292 0.500 1
Er9 0.042 0.958 0.000 1
Er10 0.875 0.125 0.752 1
Er11 0.374 0.125 0.248 1
Er12 0.375 0.625 0.750 1
Er13 0.375 0.625 0.250 1
Er14 0.542 0.958 0.000 1
```

The following is a GGA-PBE calculation of a geometry-optimized PmCdPd2 structure, from Alexandria via LeMat-Bulk.

Output
Magnetic moment   0.00 μB per cell
Energy above the lowest structure with this stoichiometry   79.4 meV/atom
ρ   9635 kg/m³
Electronic total energy   -4.600 eV per atom
ΔE_f   -0.5876 eV per atom

Geometry as CIF:
```
data_PmCdPd2
_chemical_formula_sum 'Pm1 Cd1 Pd2'
_space_group_name_H-M_alt 'P 1'
_space_group_IT_number 1
_space_group_name_Hall 'P 1'
_cell_length_a 3.508
_cell_length_b 4.807
_cell_length_c 4.807
_cell_angle_alpha 90.00
_cell_angle_beta 90.00
_cell_angle_gamma 90.00
loop_
_atom_site_label
_atom_site_fract_x
_atom_site_fract_y
_atom_site_fract_z
_atom_site_occupancy
Pm1 0.500 0.500 0.500 1
Cd1 0.500 0.000 0.000 1
Pd1 0.000 0.500 0.000 1
Pd2 0.000 0.000 0.500 1
```